# 1
The following is a DFT calculation (PBE-GGA) of a relaxed structure of Th3ScTl3Te8.

Final energy = -4.9799 eV per atom
Formation energy from raw total energies = -89.3 kJ/mol of atoms

Cell: 8.713 8.712 9.930 Å, 116.03 90.00 120.00°
Element x y z (fractional)
Th1 0.500 0.000 0.500
Th2 0.500 0.500 0.500
Th3 0.000 0.500 0.500
Sc1 0.000 0.000 0.500
Tl1 0.000 0.000 0.000
Tl2 0.000 0.500 0.000
Tl3 0.500 0.500 0.000
Te1 0.257 0.515 0.272
Te2 0.743 0.485 0.728
Te3 0.771 0.542 0.288
Te4 0.229 0.458 0.712
Te5 0.771 0.017 0.288
Te6 0.229 0.983 0.712
Te7 0.246 0.017 0.288
Te8 0.754 0.983 0.712

***

# 2
The following is a DFT calculation (PBE-GGA) of a relaxed structure of Tm3ThSc2Te6.

Final energy = -5.4710 eV per atom
Formation energy from raw total energies = -107.0 kJ/mol of atoms

Cell: 4.175 8.831 9.461 Å, 98.99 102.75 90.00°
Element x y z (fractional)
Tm1 0.500 0.500 0.000
Tm2 0.851 0.145 0.702
Tm3 0.149 0.855 0.298
Th1 0.500 0.000 0.000
Sc1 0.832 0.647 0.664
Sc2 0.168 0.353 0.336
Te1 0.321 0.885 0.642
Te2 0.668 0.599 0.337
Te3 0.679 0.115 0.358
Te4 0.012 0.269 0.024
Te5 0.988 0.731 0.976
Te6 0.332 0.401 0.663

***

# 3
The following is a DFT calculation (PBE-GGA) of a relaxed structure of Y3ThSc2Te6.

Final energy = -6.0375 eV per atom
Formation energy from raw total energies = -113.6 kJ/mol of atoms

Cell: 4.264 8.762 9.586 Å, 100.36 102.85 90.00°
Element x y z (fractional)
Y1 0.500 0.500 0.000
Y2 0.847 0.157 0.695
Y3 0.153 0.843 0.305
Th1 0.500 0.000 0.000
Sc1 0.835 0.661 0.670
Sc2 0.165 0.339 0.330
Te1 0.324 0.893 0.648
Te2 0.671 0.585 0.342
Te3 0.676 0.107 0.352
Te4 0.010 0.265 0.019
Te5 0.990 0.735 0.981
Te6 0.329 0.415 0.658

***

# 4
The following is a DFT calculation (PBE-GGA) of a relaxed structure of ScTiTe2.

Offset from the most stable computed form = 88 kJ/mol of formula units
Final energy = -5.5510 eV per atom
Formation energy from raw total energies = -40.9 kJ/mol of atoms

Cell: 9.521 9.521 9.521 Å, 22.46 22.46 22.46°
Element x y z (fractional)
Sc1 0.000 0.000 0.000
Te1 0.896 0.896 0.896
Te2 0.104 0.104 0.104
Ti1 0.500 0.500 0.500

***

# 5
The following is a DFT calculation (PBE-GGA) of a relaxed structure of Sc2TiTe6.

Final energy = -5.1629 eV per atom
Formation energy from raw total energies = -75.7 kJ/mol of atoms

Cell: 6.947 7.507 9.491 Å, 90.00 88.97 90.00°
Element x y z (fractional)
Sc1 0.962 0.360 0.757
Sc2 0.538 0.860 0.743
Sc3 0.462 0.140 0.257
Sc4 0.038 0.640 0.243
Ti1 0.500 0.500 0.000
Ti2 0.000 0.000 0.500
Te1 0.840 0.976 0.238
Te2 0.841 0.672 0.569
Te3 0.839 0.676 0.924
Te4 0.661 0.176 0.576
Te5 0.659 0.172 0.931
Te6 0.660 0.476 0.262
Te7 0.160 0.024 0.762
Te8 0.159 0.328 0.431
Te9 0.161 0.324 0.076
Te10 0.339 0.824 0.424
Te11 0.341 0.828 0.069
Te12 0.340 0.524 0.738

***

# 6
The following is a DFT calculation (PBE-GGA) of a relaxed structure of ScTi2Te4.

Final energy = -5.8389 eV per atom
Formation energy from raw total energies = -85.2 kJ/mol of atoms

Cell: 3.877 6.986 7.820 Å, 117.37 104.35 90.00°
Element x y z (fractional)
Sc1 0.000 0.000 0.000
Ti1 0.750 0.800 0.500
Ti2 0.250 0.200 0.500
Te1 0.887 0.234 0.774
Te2 0.113 0.766 0.226
Te3 0.641 0.310 0.281
Te4 0.359 0.690 0.719

***

# 7
The following is a DFT calculation (PBE-GGA) of a relaxed structure of Sc2Ti4Te9.

Final energy = -5.6645 eV per atom
Formation energy from raw total energies = -80.1 kJ/mol of atoms

Cell: 7.029 7.018 19.231 Å, 89.99 90.02 59.97°
Element x y z (fractional)
Sc1 0.999 0.002 0.335
Sc2 0.000 0.998 0.165
Sc3 0.001 0.998 0.665
Sc4 0.000 0.002 0.835
Ti1 0.333 0.333 0.006
Ti2 0.335 0.332 0.507
Ti3 0.667 0.667 0.994
Ti4 0.332 0.335 0.163
Ti5 0.665 0.668 0.493
Ti6 0.666 0.666 0.337
Ti7 0.334 0.334 0.663
Ti8 0.668 0.665 0.837
Te1 0.001 0.344 0.750
Te2 0.345 0.656 0.750
Te3 0.657 0.000 0.750
Te4 0.999 0.656 0.250
Te5 0.655 0.344 0.250
Te6 0.343 0.000 0.250
Te7 0.657 0.005 0.418
Te8 0.005 0.338 0.419
Te9 0.336 0.658 0.419
Te10 0.662 0.995 0.081
Te11 0.343 0.662 0.081
Te12 0.995 0.341 0.081
Te13 0.343 0.995 0.582
Te14 0.995 0.662 0.581
Te15 0.664 0.342 0.581
Te16 0.338 0.005 0.919
Te17 0.657 0.338 0.919
Te18 0.005 0.659 0.919

***

# 8
The following is a DFT calculation (PBE-GGA) of a relaxed structure of ScTi4Te8.

Final energy = -5.6186 eV per atom
Formation energy from raw total energies = -74.2 kJ/mol of atoms

Cell: 8.218 8.218 8.218 Å, 56.07 56.07 56.07°
Element x y z (fractional)
Sc1 0.500 0.500 0.500
Ti1 0.500 0.000 0.500
Ti2 0.000 0.500 0.500
Ti3 0.500 0.500 0.000
Ti4 0.000 0.000 0.000
Te1 0.245 0.757 0.245
Te2 0.755 0.755 0.243
Te3 0.755 0.243 0.755
Te4 0.243 0.755 0.755
Te5 0.747 0.747 0.747
Te6 0.253 0.253 0.253
Te7 0.757 0.245 0.245
Te8 0.245 0.245 0.757